Material: La2Pm2Sn
Method: DFT, PBE
State: optimized geometry

Values from the calculation:
ΔE_f in eV per formula unit: -1.2
DOS(E_F) in states/eV/atom: 1.084
Size of the total moment in μB per cell: 0.00
Energy in eV per atom: -4.913

Cell: 8.8374 9.7764 8.5026 Å, 90.00 115.19 90.00°
Closest atoms and distances in Å follow each position.
Space group C2/m (No. 12)
Unique sites:
La1 0.0866 0.1870 0.2087 (multiplicity 8)  2 Sn 3.18-3.43, 1 La 3.21, 3 Pm 3.50-3.54
Pm1 0.1411 0.5000 0.9108 (multiplicity 4)  3 Pm 3.43-3.80, 4 La 3.50-3.56, 2 Sn 3.61
Pm2 0.2199 0.0000 0.6007 (multiplicity 4)  4 Sn 3.41-3.62, 3 Pm 3.52-3.80, 4 La 3.54
Sn1 0.0000 0.3238 0.5000 (multiplicity 4)  4 La 3.18-3.43, 2 Pm 3.41, 1 Sn 3.44